Computed, not measured: ScTi3 after structural relaxation at the GGA-PBE level of DFT.

D(E_F): 0.942 states/eV per atom
total energy: -29.79 eV/cell
energy relative to the elements: 0.056 eV/atom

a = 3.014 Å, b = 4.720 Å, c = 5.280 Å
α = 90.00°, β = 90.00°, γ = 90.00°
Space group Pmm2 (No. 25)
Unique sites:
1 Sc 0.000 0.000 0.000 x1
2 Ti 0.000 0.500 0.661 x1
3 Ti 0.500 0.000 0.502 x1
4 Ti 0.500 0.500 0.191 x1


Computed, not measured: ScTi6 after structural relaxation at the GGA-PBE level of DFT.

D(E_F): 1.793 states/eV per atom
total energy: -85.76 eV/cell
energy relative to the elements: 1.546 eV/atom

a = 6.880 Å, b = 6.880 Å, c = 6.880 Å
α = 90.00°, β = 90.00°, γ = 90.00°
Space group Im-3m (No. 229)
Unique sites:
1 Sc 0.000 0.000 0.000 x2
2 Ti 0.000 0.250 0.500 x12


Computed, not measured: ScTi3 after structural relaxation at the GGA-PBE level of DFT.

D(E_F): 1.933 states/eV per atom
total energy: -58.93 eV/cell
energy relative to the elements: 0.138 eV/atom

a = 4.232 Å, b = 4.232 Å, c = 8.373 Å
α = 90.00°, β = 90.00°, γ = 90.00°
Space group I4/mmm (No. 139)
Unique sites:
1 Sc 0.000 0.000 0.000 x2
2 Ti 0.000 0.000 0.500 x2
3 Ti 0.000 0.500 0.250 x4


Computed, not measured: ScTiTl2 after structural relaxation at the GGA-PBE level of DFT.

D(E_F): 0.549 states/eV per atom
total energy: -19.12 eV/cell
energy relative to the elements: -0.039 eV/atom

a = 4.521 Å, b = 4.521 Å, c = 4.278 Å
α = 90.00°, β = 90.00°, γ = 90.00°
Space group P4/mmm (No. 123)
Unique sites:
1 Sc 0.000 0.000 0.000 x1
2 Ti 0.500 0.500 0.000 x1
3 Tl 0.000 0.500 0.500 x2


- Which value of total energy does entry 3 give?
  -58.93 eV/cell


- total energy of number 1 (ScTi3)?
  -29.79 eV/cell


What did the first record say?
Computed, not measured: ScTi3 after structural relaxation at the GGA-PBE level of DFT.

D(E_F): 0.942 states/eV per atom
total energy: -29.79 eV/cell
energy relative to the elements: 0.056 eV/atom

a = 3.014 Å, b = 4.720 Å, c = 5.280 Å
α = 90.00°, β = 90.00°, γ = 90.00°
Space group Pmm2 (No. 25)
Unique sites:
1 Sc 0.000 0.000 0.000 x1
2 Ti 0.000 0.500 0.661 x1
3 Ti 0.500 0.000 0.502 x1
4 Ti 0.500 0.500 0.191 x1